Record 1
First-principles (GGA-PBEsol) data for crystalline Cs2YInCl6 at its relaxed geometry, as listed in Alexandria via LeMat-Bulk.

Geometry as CIF:
```
data_Cs2YInCl6
_space_group_name_H-M_alt 'F m -3 m'
_space_group_IT_number 225
_space_group_name_Hall '-F 4 2 3'
_cell_length_a 11.1586
_cell_length_b 11.1586
_cell_length_c 11.1586
_cell_angle_alpha 90.00
_cell_angle_beta 90.00
_cell_angle_gamma 90.00
loop_
_atom_site_label
_atom_site_type_symbol
_atom_site_fract_x
_atom_site_fract_y
_atom_site_fract_z
Cs1 Cs 0.2500 0.2500 0.2500
Y1 Y 0.0000 0.0000 0.0000
In1 In 0.0000 0.0000 0.5000
Cl1 Cl 0.0000 0.0000 0.2333
```

The total energy is -4.26 eV/atom. For the raw formation energy, the calculation gives -1.889 eV/atom.

Record 2
First-principles (GGA-PBEsol) data for crystalline CsIr2Cl at its relaxed geometry, as listed in Alexandria via LeMat-Bulk.

Geometry as CIF:
```
data_CsIr2Cl
_space_group_name_H-M_alt 'F m -3 m'
_space_group_IT_number 225
_space_group_name_Hall '-F 4 2 3'
_cell_length_a 6.7286
_cell_length_b 6.7286
_cell_length_c 6.7286
_cell_angle_alpha 90.00
_cell_angle_beta 90.00
_cell_angle_gamma 90.00
loop_
_atom_site_label
_atom_site_type_symbol
_atom_site_fract_x
_atom_site_fract_y
_atom_site_fract_z
Cs1 Cs 0.0000 0.0000 0.0000
Ir1 Ir 0.2500 0.2500 0.2500
Cl1 Cl 0.0000 0.0000 0.5000
```

The total energy is -3.74 eV/atom. For the raw formation energy, the calculation gives 1.906 eV/atom.

Record 3
First-principles (GGA-PBEsol) data for crystalline Cs3IrCl at its relaxed geometry, as listed in Alexandria via LeMat-Bulk.

Geometry as CIF:
```
data_Cs3IrCl
_space_group_name_H-M_alt 'P m -3 m'
_space_group_IT_number 221
_space_group_name_Hall '-P 4 2 3'
_cell_length_a 5.9673
_cell_length_b 5.9673
_cell_length_c 5.9673
_cell_angle_alpha 90.00
_cell_angle_beta 90.00
_cell_angle_gamma 90.00
loop_
_atom_site_label
_atom_site_type_symbol
_atom_site_fract_x
_atom_site_fract_y
_atom_site_fract_z
Cs1 Cs 0.0000 0.0000 0.5000
Ir1 Ir 0.0000 0.0000 0.0000
Cl1 Cl 0.5000 0.5000 0.5000
```

The total energy is -3.02 eV/atom. For the raw formation energy, the calculation gives -0.089 eV/atom.

Record 4
First-principles (GGA-PBEsol) data for crystalline CsPIrCl2 at its relaxed geometry, as listed in Alexandria via LeMat-Bulk.

Geometry as CIF:
```
data_CsPIrCl2
_space_group_name_H-M_alt 'P 4/m m m'
_space_group_IT_number 123
_space_group_name_Hall '-P 4 2'
_cell_length_a 5.2394
_cell_length_b 5.2394
_cell_length_c 4.4048
_cell_angle_alpha 90.00
_cell_angle_beta 90.00
_cell_angle_gamma 90.00
loop_
_atom_site_label
_atom_site_type_symbol
_atom_site_fract_x
_atom_site_fract_y
_atom_site_fract_z
Cs1 Cs 0.0000 0.0000 0.0000
P1 P 0.5000 0.5000 0.0000
Ir1 Ir 0.5000 0.5000 0.5000
Cl1 Cl 0.0000 0.5000 0.5000
```

The total energy is -4.62 eV/atom. For the raw formation energy, the calculation gives -0.505 eV/atom.

Record 5
First-principles (GGA-PBEsol) data for crystalline Cs3KCl at its relaxed geometry, as listed in Alexandria via LeMat-Bulk.

Geometry as CIF:
```
data_Cs3KCl
_space_group_name_H-M_alt 'P m -3 m'
_space_group_IT_number 221
_space_group_name_Hall '-P 4 2 3'
_cell_length_a 6.9935
_cell_length_b 6.9935
_cell_length_c 6.9935
_cell_angle_alpha 90.00
_cell_angle_beta 90.00
_cell_angle_gamma 90.00
loop_
_atom_site_label
_atom_site_type_symbol
_atom_site_fract_x
_atom_site_fract_y
_atom_site_fract_z
Cs1 Cs 0.0000 0.0000 0.5000
K1 K 0.5000 0.5000 0.5000
Cl1 Cl 0.0000 0.0000 0.0000
```

The total energy is -1.95 eV/atom. For the raw formation energy, the calculation gives -0.754 eV/atom.

Record 6
First-principles (GGA-PBEsol) data for crystalline CsK2Cl2 at its relaxed geometry, as listed in Alexandria via LeMat-Bulk.

Geometry as CIF:
```
data_CsK2Cl2
_space_group_name_H-M_alt 'I 4/m m m'
_space_group_IT_number 139
_space_group_name_Hall '-I 4 2'
_cell_length_a 5.8815
_cell_length_b 5.8815
_cell_length_c 16.7403
_cell_angle_alpha 90.00
_cell_angle_beta 90.00
_cell_angle_gamma 90.00
loop_
_atom_site_label
_atom_site_type_symbol
_atom_site_fract_x
_atom_site_fract_y
_atom_site_fract_z
Cs1 Cs 0.0000 0.0000 0.0000
K1 K 0.0000 0.5000 0.2500
Cl1 Cl 0.0000 0.0000 0.2013
```

The total energy is -2.90 eV/atom. For the raw formation energy, the calculation gives -1.455 eV/atom.